Tl2CuGe3Au12 | GGA-PBE | optimized geometry

- ρ: 12.3 Mg/m³
- DFT formation energy: 177 meV/atom

Cell: 7.993 7.993 7.993 Å, 66.41 66.41 66.41°
Element x y z (fractional)
Tl (0.114, 0.114, 0.114)
Tl (0.886, 0.886, 0.886)
Cu (0.500, 0.500, 0.500)
Ge (0.000, 0.500, 0.500)
Ge (0.500, 0.000, 0.500)
Ge (0.500, 0.500, 0.000)
Au (0.131, 0.639, 0.639)
Au (0.133, 0.133, 0.619)
Au (0.133, 0.619, 0.133)
Au (0.361, 0.361, 0.869)
Au (0.361, 0.869, 0.361)
Au (0.381, 0.867, 0.867)
Au (0.619, 0.133, 0.133)
Au (0.639, 0.131, 0.639)
Au (0.639, 0.639, 0.131)
Au (0.867, 0.381, 0.867)
Au (0.867, 0.867, 0.381)
Au (0.869, 0.361, 0.361)

Pr6Dy2Er3Tl | GGA-PBE | optimized geometry

- ρ: 7.9 Mg/m³
- DFT formation energy: -7 meV/atom

Cell: 6.242 6.242 11.852 Å, 95.09 95.09 120.15°
Element x y z (fractional)
Pr (0.083, 0.411, 0.750)
Pr (0.245, 0.245, 0.249)
Pr (0.411, 0.083, 0.750)
Pr (0.589, 0.917, 0.250)
Pr (0.755, 0.755, 0.751)
Pr (0.917, 0.589, 0.250)
Dy (0.334, 0.666, 0.500)
Dy (0.666, 0.334, 0.500)
Er (0.168, 0.832, 0.000)
Er (0.500, 0.500, 0.000)
Er (0.832, 0.168, 0.000)
Tl (0.000, 0.000, 0.500)

TmLuMgOs | GGA-PBE | optimized geometry

- ρ: 11.0 Mg/m³
- DFT formation energy: -206 meV/atom

Cell: 4.915 4.915 4.915 Å, 60.00 60.00 60.00°
Element x y z (fractional)
Tm (0.000, 0.000, 0.000)
Lu (0.500, 0.500, 0.500)
Mg (0.750, 0.750, 0.750)
Os (0.250, 0.250, 0.250)

ThZnSi2 | GGA-PBE | optimized geometry

- ρ: 7.6 Mg/m³
- Energy relative to the elements, uncorrected: -0.418 eV/atom

Cell: 13.842 4.115 10.881 Å, 90.00 90.00 90.00°
Element x y z (fractional)
Th (0.054, 0.250, 0.239)
Th (0.193, 0.750, 0.953)
Th (0.307, 0.250, 0.453)
Th (0.446, 0.750, 0.739)
Th (0.554, 0.250, 0.261)
Th (0.693, 0.750, 0.547)
Th (0.807, 0.250, 0.047)
Th (0.946, 0.750, 0.761)
Zn (0.057, 0.250, 0.543)
Zn (0.204, 0.750, 0.649)
Zn (0.296, 0.250, 0.149)
Zn (0.443, 0.750, 0.043)
Zn (0.557, 0.250, 0.957)
Zn (0.704, 0.750, 0.851)
Zn (0.796, 0.250, 0.351)
Zn (0.943, 0.750, 0.457)
Si (0.025, 0.250, 0.955)
Si (0.110, 0.250, 0.763)
Si (0.133, 0.750, 0.435)
Si (0.216, 0.750, 0.240)
Si (0.284, 0.250, 0.740)
Si (0.367, 0.250, 0.935)
Si (0.390, 0.750, 0.263)
Si (0.475, 0.750, 0.455)
Si (0.525, 0.250, 0.545)
Si (0.610, 0.250, 0.737)
Si (0.633, 0.750, 0.065)
Si (0.716, 0.750, 0.260)
Si (0.784, 0.250, 0.760)
Si (0.867, 0.250, 0.565)
Si (0.890, 0.750, 0.237)
Si (0.975, 0.750, 0.045)

ScTi2V2 | GGA-PBE | optimized geometry

- ρ: 4.7 Mg/m³
- Distance to the lowest polymorph of the same formula: 0 meV per atom
- DFT formation energy: 163 meV/atom

Cell: 7.304 7.304 3.215 Å, 90.00 90.00 90.00°
Element x y z (fractional)
Sc (0.000, 0.000, 0.000)
Sc (0.500, 0.500, 0.000)
Ti (0.170, 0.330, 0.500)
Ti (0.330, 0.830, 0.500)
Ti (0.670, 0.170, 0.500)
Ti (0.830, 0.670, 0.500)
V (0.121, 0.621, 0.000)
V (0.379, 0.121, 0.000)
V (0.621, 0.879, 0.000)
V (0.879, 0.379, 0.000)

LiCa3Ag6 | GGA-PBE | optimized geometry

- ρ: 5.5 Mg/m³
- DFT formation energy: -179 meV/atom

Cell: 7.787 7.787 7.787 Å, 95.43 95.43 95.43°
Element x y z (fractional)
Li (0.000, 0.000, 0.000)
Li (0.500, 0.500, 0.500)
Ca (0.183, 0.750, 0.317)
Ca (0.250, 0.683, 0.817)
Ca (0.317, 0.183, 0.750)
Ca (0.683, 0.817, 0.250)
Ca (0.750, 0.317, 0.183)
Ca (0.817, 0.250, 0.683)
Ag (0.030, 0.086, 0.346)
Ag (0.086, 0.346, 0.030)
Ag (0.154, 0.414, 0.470)
Ag (0.346, 0.030, 0.086)
Ag (0.414, 0.470, 0.154)
Ag (0.470, 0.154, 0.414)
Ag (0.530, 0.846, 0.586)
Ag (0.586, 0.530, 0.846)
Ag (0.654, 0.970, 0.914)
Ag (0.846, 0.586, 0.530)
Ag (0.914, 0.654, 0.970)
Ag (0.970, 0.914, 0.654)

MnMoIr2 | GGA-PBE | optimized geometry

- ρ: 15.6 Mg/m³
- Distance to the lowest polymorph of the same formula: 20 meV per atom
- DFT formation energy: -234 meV/atom

Cell: 4.684 4.684 4.684 Å, 131.27 131.27 71.39°
Element x y z (fractional)
Mn (0.000, 0.000, 0.000)
Mo (0.500, 0.500, 0.000)
Ir (0.250, 0.750, 0.500)
Ir (0.750, 0.250, 0.500)

MnRuI2N | GGA-PBE | optimized geometry

- ρ: 6.1 Mg/m³
- Distance to the lowest polymorph of the same formula: 0 meV per atom
- Energy relative to the elements, uncorrected: 0.548 eV/atom

Cell: 5.582 5.582 3.719 Å, 90.00 90.00 90.00°
Element x y z (fractional)
Mn (0.000, 0.000, 0.000)
Ru (0.500, 0.500, 0.500)
I (0.000, 0.500, 0.500)
I (0.500, 0.000, 0.500)
N (0.500, 0.500, 0.000)